PdSe3F: optimized geometry, PBE-GGA.

## Properties
* M_tot: 0.0 μB per cell
* E_form (uncorrected): 0.41 eV/atom
* theoretical density: 5.06 g/cm³
* ΔE to the lowest computed polymorph: 0.000 eV per atom

Unit cell a=4.9183 b=4.9183 c=4.9183 alpha=90.00 beta=90.00 gamma=90.00
Fractional positions:
Pd: 0.0000 0.0000 0.0000
Se: 0.0000 0.0000 0.5000
Se: 0.0000 0.5000 0.0000
Se: 0.5000 0.0000 0.0000
F: 0.5000 0.5000 0.5000